This record from the Alexandria database describes a relaxed structure of GaHAu. The functional is PBE-GGA.

Cell lengths 4.1207, 4.1207, 4.1207 Å; angles 123.68, 123.68, 83.74 degrees
Fractional coordinates of all 3 atoms:
Ga1 0.0000 0.0000 0.0000
H1 0.2969 0.2969 0.0000
Au1 0.5792 0.5792 0.0000

Properties
The space-group type is No. 107. The value obtained for the energy above the most stable polymorph in this dataset is 152 meV/atom. As for the total moment: 0.000 μB per cell.

This record from the Alexandria database describes a relaxed structure of KRbBa2H. The functional is PBE-GGA.

Cell lengths 5.9245, 5.9245, 7.2957 Å; angles 90.00, 90.00, 90.00 degrees
Fractional coordinates of all 5 atoms:
K1 0.0000 0.0000 0.0000
Rb1 0.5000 0.5000 0.0000
Ba1 0.0000 0.5000 0.5000
Ba2 0.5000 0.0000 0.5000
H1 0.5000 0.5000 0.5000

Properties
The space-group type is No. 123. The value obtained for the energy above the most stable polymorph in this dataset is 0 meV/atom. As for the total moment: 0.000 μB per cell.

This record from the Alexandria database describes a relaxed structure of Ca3Cu8Sn4. The functional is PBE-GGA.

Cell lengths 9.1672, 9.1672, 7.7751 Å; angles 90.00, 90.00, 120.00 degrees
Fractional coordinates of all 30 atoms:
Ca1 0.0493 0.5247 0.0000
Ca2 0.4753 0.5247 0.0000
Ca3 0.4753 0.9507 0.0000
Ca4 0.5247 0.0493 0.5000
Ca5 0.5247 0.4753 0.5000
Ca6 0.9507 0.4753 0.5000
Cu1 0.0000 0.0000 0.2224
Cu2 0.0000 0.0000 0.7224
Cu3 0.1019 0.2037 0.9755
Cu4 0.1019 0.8981 0.9755
Cu5 0.1635 0.3271 0.6680
Cu6 0.1635 0.8365 0.6680
Cu7 0.2037 0.1019 0.4755
Cu8 0.3271 0.1635 0.1680
Cu9 0.3333 0.6667 0.3355
Cu10 0.6667 0.3333 0.8355
Cu11 0.6729 0.8365 0.6680
Cu12 0.7963 0.8981 0.9755
Cu13 0.8365 0.1635 0.1680
Cu14 0.8365 0.6729 0.1680
Cu15 0.8981 0.1019 0.4755
Cu16 0.8981 0.7963 0.4755
Sn1 0.1687 0.3373 0.2933
Sn2 0.1687 0.8313 0.2933
Sn3 0.3333 0.6667 0.6926
Sn4 0.3373 0.1687 0.7933
Sn5 0.6627 0.8313 0.2933
Sn6 0.6667 0.3333 0.1926
Sn7 0.8313 0.1687 0.7933
Sn8 0.8313 0.6627 0.7933

Properties
The space-group type is No. 186. For the formation energy, the calculation gives -0.290 eV per atom. As for the total moment: 0.000 μB per cell.

This record from the Alexandria database describes a relaxed structure of KInCl. The functional is PBE-GGA.

Cell lengths 5.5357, 5.5357, 5.5357 Å; angles 60.00, 60.00, 60.00 degrees
Fractional coordinates of all 3 atoms:
K1 0.0000 0.0000 0.0000
In1 0.7500 0.7500 0.7500
Cl1 0.2500 0.2500 0.2500

Properties
The space-group type is No. 216. The value obtained for the energy above the most stable polymorph in this dataset is 404 meV/atom. As for the total moment: 0.010 μB per cell.

This record from the Alexandria database describes a relaxed structure of Sr8Ir2Au. The functional is PBE-GGA.

Cell lengths 9.5351, 9.5351, 6.2440 Å; angles 90.00, 90.00, 120.00 degrees
Fractional coordinates of all 11 atoms:
Sr1 0.1633 0.3289 0.2505
Sr2 0.1656 0.8367 0.2505
Sr3 0.3289 0.1656 0.7495
Sr4 0.3333 0.6667 0.7522
Sr5 0.6667 0.3333 0.2478
Sr6 0.6711 0.8344 0.2505
Sr7 0.8344 0.1633 0.7495
Sr8 0.8367 0.6711 0.7495
Ir1 0.3333 0.6667 0.2558
Ir2 0.6667 0.3333 0.7442
Au1 0.0000 0.0000 0.5000

Properties
The space-group type is No. 147. For the formation energy, the calculation gives -0.055 eV per atom. As for the total moment: 0.000 μB per cell.

This record from the Alexandria database describes a relaxed structure of Sr3Ga11. The functional is PBE-GGA.

Cell lengths 8.7360, 8.7360, 8.7360 Å; angles 150.47, 107.38, 80.28 degrees
Fractional coordinates of all 14 atoms:
Sr1 0.0000 0.0000 0.0000
Sr2 0.3178 0.3178 0.0000
Sr3 0.6822 0.6822 0.0000
Ga1 0.0343 0.6625 0.3718
Ga2 0.1211 0.8506 0.2705
Ga3 0.2846 0.5000 0.7846
Ga4 0.2907 0.6625 0.6282
Ga5 0.4199 0.1494 0.2705
Ga6 0.5000 0.0000 0.5000
Ga7 0.5801 0.8506 0.7295
Ga8 0.7093 0.3375 0.3718
Ga9 0.7154 0.5000 0.2154
Ga10 0.8789 0.1494 0.7295
Ga11 0.9657 0.3375 0.6282

Properties
The space-group type is No. 71. For the formation energy, the calculation gives -0.377 eV per atom. As for the total moment: 0.000 μB per cell.

This record from the Alexandria database describes a relaxed structure of Sm2OsN4. The functional is PBE-GGA.

Cell lengths 6.0152, 5.6693, 6.6619 Å; angles 90.00, 105.97, 90.00 degrees
Fractional coordinates of all 14 atoms:
Sm1 0.1846 0.2500 0.0386
Sm2 0.2293 0.2500 0.5553
Sm3 0.7707 0.7500 0.4447
Sm4 0.8154 0.7500 0.9614
Os1 0.2827 0.7500 0.8100
Os2 0.7173 0.2500 0.1900
N1 0.0216 0.5242 0.7480
N2 0.0216 0.9758 0.7480
N3 0.4393 0.7500 0.0783
N4 0.4622 0.7500 0.6339
N5 0.5378 0.2500 0.3661
N6 0.5607 0.2500 0.9217
N7 0.9784 0.0242 0.2520
N8 0.9784 0.4758 0.2520

Properties
The space-group type is No. 11. The electronic total energy comes out at -8.338 eV per atom. As for the total moment: 0.000 μB per cell.

This record from the Alexandria database describes a relaxed structure of Sr2TiW. The functional is PBE-GGA.

Cell lengths 6.8374, 6.8374, 6.8374 Å; angles 100.48, 100.48, 129.52 degrees
Fractional coordinates of all 8 atoms:
Sr1 0.1083 0.6250 0.9833
Sr2 0.3750 0.3583 0.4833
Sr3 0.6417 0.1250 0.0167
Sr4 0.8750 0.8917 0.5167
Ti1 0.2500 0.7500 0.5000
Ti2 0.5000 0.5000 0.0000
W1 0.0000 0.0000 0.0000
W2 0.7500 0.2500 0.5000

Properties
The space-group type is No. 122. For the formation energy, the calculation gives 1.612 eV per atom. The value obtained for the energy above the most stable polymorph in this dataset is 144 meV/atom. As for the total moment: 2.855 μB per cell.

This record from the Alexandria database describes a relaxed structure of HfMnGeRh. The functional is PBE-GGA.

Cell lengths 4.3628, 4.3628, 4.3628 Å; angles 60.00, 60.00, 60.00 degrees
Fractional coordinates of all 4 atoms:
Hf1 0.0000 0.0000 0.0000
Mn1 0.2500 0.2500 0.2500
Ge1 0.5000 0.5000 0.5000
Rh1 0.7500 0.7500 0.7500

Properties
The space-group type is No. 216. For the formation energy, the calculation gives -0.483 eV per atom. As for the total moment: 0.000 μB per cell.

This record from the Alexandria database describes a relaxed structure of ScCoMo2Se. The functional is PBE-GGA.

Cell lengths 4.5202, 4.5202, 4.5822 Å; angles 90.00, 90.00, 90.00 degrees
Fractional coordinates of all 5 atoms:
Sc1 0.0000 0.0000 0.0000
Co1 0.5000 0.5000 0.5000
Mo1 0.0000 0.5000 0.5000
Mo2 0.5000 0.0000 0.5000
Se1 0.5000 0.5000 0.0000

Properties
The space-group type is No. 123. The electronic total energy comes out at -6.946 eV per atom. As for the total moment: 0.000 μB per cell.

This record from the Alexandria database describes a relaxed structure of HfZnRe3. The functional is PBE-GGA.

Cell lengths 4.5043, 4.5043, 4.5043 Å; angles 90.00, 90.00, 90.00 degrees
Fractional coordinates of all 5 atoms:
Hf1 0.0000 0.0000 0.0000
Zn1 0.5000 0.5000 0.5000
Re1 0.0000 0.5000 0.5000
Re2 0.5000 0.0000 0.5000
Re3 0.5000 0.5000 0.0000

Properties
The space-group type is No. 221. For the formation energy, the calculation gives 1.497 eV per atom. The value obtained for the energy above the most stable polymorph in this dataset is 0 meV/atom. As for the total moment: 0.000 μB per cell.

This record from the Alexandria database describes a relaxed structure of Bi3TePt. The functional is PBE-GGA.

Cell lengths 5.4658, 5.4658, 5.4658 Å; angles 90.00, 90.00, 90.00 degrees
Fractional coordinates of all 5 atoms:
Bi1 0.0000 0.0000 0.5000
Bi2 0.0000 0.5000 0.0000
Bi3 0.5000 0.0000 0.0000
Te1 0.5000 0.5000 0.5000
Pt1 0.0000 0.0000 0.0000

Properties
The space-group type is No. 221. The value obtained for the energy above the most stable polymorph in this dataset is 478 meV/atom. As for the total moment: 0.000 μB per cell.

This record from the Alexandria database describes a relaxed structure of PmYZn10. The functional is PBE-GGA.

Cell lengths 4.2250, 5.3495, 9.2410 Å; angles 90.00, 90.00, 90.00 degrees
Fractional coordinates of all 12 atoms:
Pm1 0.0000 0.0000 0.0000
Y1 0.0000 0.5000 0.5000
Zn1 0.0000 0.0000 0.3368
Zn2 0.0000 0.0000 0.6632
Zn3 0.0000 0.5000 0.1695
Zn4 0.0000 0.5000 0.8305
Zn5 0.5000 0.0000 0.5000
Zn6 0.5000 0.2512 0.2519
Zn7 0.5000 0.2512 0.7481
Zn8 0.5000 0.5000 0.0000
Zn9 0.5000 0.7488 0.2519
Zn10 0.5000 0.7488 0.7481

Properties
The space-group type is No. 47. For the formation energy, the calculation gives -0.291 eV per atom. As for the total moment: 0.000 μB per cell.

This record from the Alexandria database describes a relaxed structure of Sm2LuO. The functional is PBE-GGA.

Cell lengths 3.2238, 3.2238, 8.8379 Å; angles 90.00, 90.00, 90.00 degrees
Fractional coordinates of all 4 atoms:
Sm1 0.0000 0.0000 0.1741
Sm2 0.0000 0.0000 0.8259
Lu1 0.5000 0.5000 0.5000
O1 0.5000 0.5000 0.0000

Properties
The space-group type is No. 123. The electronic total energy comes out at -5.559 eV per atom. As for the total moment: 0.000 μB per cell.

This record from the Alexandria database describes a relaxed structure of Te3Se2. The functional is PBE-GGA.

Cell lengths 9.8197, 6.5186, 10.6875 Å; angles 64.36, 36.76, 78.88 degrees
Fractional coordinates of all 10 atoms:
Te1 0.0000 0.0000 0.0000
Te2 0.2087 0.7400 0.4131
Te3 0.2500 0.2500 0.2500
Te4 0.6118 0.8369 0.5100
Te5 0.7400 0.2087 0.6382
Te6 0.8369 0.6118 0.0413
Se1 0.0819 0.3810 0.0252
Se2 0.2248 0.7381 0.1681
Se3 0.3810 0.0819 0.5119
Se4 0.7381 0.2248 0.8690

Properties
The space-group type is No. 43. The electronic total energy comes out at -3.144 eV per atom. As for the total moment: 0.000 μB per cell.

This record from the Alexandria database describes a relaxed structure of Tm4Al2N. The functional is PBE-GGA.

Cell lengths 8.2956, 8.2956, 8.2956 Å; angles 147.70, 147.70, 46.33 degrees
Fractional coordinates of all 7 atoms:
Tm1 0.0000 0.5000 0.5000
Tm2 0.1640 0.1640 0.0000
Tm3 0.5000 0.0000 0.5000
Tm4 0.8360 0.8360 0.0000
Al1 0.3655 0.3655 0.0000
Al2 0.6345 0.6345 0.0000
N1 0.0000 0.0000 0.0000

Properties
The space-group type is No. 139. The electronic total energy comes out at -5.465 eV per atom. As for the total moment: 0.000 μB per cell.

This record from the Alexandria database describes a relaxed structure of CsBa2MgZn. The functional is PBE-GGA.

Cell lengths 6.6871, 6.6871, 5.4889 Å; angles 90.00, 90.00, 90.00 degrees
Fractional coordinates of all 5 atoms:
Cs1 0.0000 0.0000 0.0000
Ba1 0.0000 0.5000 0.5000
Ba2 0.5000 0.0000 0.5000
Mg1 0.5000 0.5000 0.0000
Zn1 0.5000 0.5000 0.5000

Properties
The space-group type is No. 123. For the formation energy, the calculation gives 0.096 eV per atom. As for the total moment: 0.598 μB per cell.

This record from the Alexandria database describes a relaxed structure of CdTePb2. The functional is PBE-GGA.

Cell lengths 3.3331, 3.3331, 11.0644 Å; angles 90.00, 90.00, 107.48 degrees
Fractional coordinates of all 4 atoms:
Cd1 0.0000 0.0000 0.0000
Te1 0.0000 0.0000 0.5000
Pb1 0.5000 0.5000 0.2332
Pb2 0.5000 0.5000 0.7668

Properties
The space-group type is No. 65. The value obtained for the energy above the most stable polymorph in this dataset is 134 meV/atom. As for the total moment: 0.000 μB per cell.

This record from the Alexandria database describes a relaxed structure of SrAc2Cd. The functional is PBE-GGA.

Cell lengths 4.1138, 4.1138, 9.9223 Å; angles 90.00, 90.00, 90.00 degrees
Fractional coordinates of all 4 atoms:
Sr1 0.0000 0.0000 0.0000
Ac1 0.5000 0.5000 0.3041
Ac2 0.5000 0.5000 0.6959
Cd1 0.0000 0.0000 0.5000

Properties
The space-group type is No. 123. For the formation energy, the calculation gives -0.097 eV per atom. The value obtained for the energy above the most stable polymorph in this dataset is 0 meV/atom. As for the total moment: 0.000 μB per cell.

This record from the Alexandria database describes a relaxed structure of NdSmGdDy. The functional is PBE-GGA.

Cell lengths 5.7469, 5.7469, 5.7469 Å; angles 60.00, 60.00, 60.00 degrees
Fractional coordinates of all 4 atoms:
Nd1 0.0000 0.0000 0.0000
Sm1 0.2500 0.2500 0.2500
Gd1 0.5000 0.5000 0.5000
Dy1 0.7500 0.7500 0.7500

Properties
The space-group type is No. 216. For the formation energy, the calculation gives 0.121 eV per atom. As for the total moment: 8.822 μB per cell.

This record from the Alexandria database describes a relaxed structure of SrRe2Pt. The functional is PBE-GGA.

Cell lengths 5.6844, 5.6844, 5.6844 Å; angles 146.83, 125.28, 65.51 degrees
Fractional coordinates of all 4 atoms:
Sr1 0.0000 0.0000 0.0000
Re1 0.5100 0.5100 0.0000
Re2 0.6962 0.1962 0.5000
Pt1 0.2876 0.7876 0.5000

Properties
The space-group type is No. 44. For the formation energy, the calculation gives 0.634 eV per atom. The value obtained for the energy above the most stable polymorph in this dataset is 391 meV/atom. As for the total moment: 0.000 μB per cell.

This record from the Alexandria database describes a relaxed structure of NdMgSc2Tl4. The functional is PBE-GGA.

Cell lengths 9.3146, 9.3146, 9.3146 Å; angles 32.17, 32.17, 32.17 degrees
Fractional coordinates of all 8 atoms:
Nd1 0.0000 0.0000 0.0000
Mg1 0.5000 0.5000 0.5000
Sc1 0.2448 0.2448 0.2448
Sc2 0.7552 0.7552 0.7552
Tl1 0.1270 0.1270 0.1270
Tl2 0.3804 0.3804 0.3804
Tl3 0.6196 0.6196 0.6196
Tl4 0.8730 0.8730 0.8730

Properties
The space-group type is No. 166. For the formation energy, the calculation gives -0.225 eV per atom. As for the total moment: 0.000 μB per cell.

This record from the Alexandria database describes a relaxed structure of Zr12Ga6Fe. The functional is PBE-GGA.

Cell lengths 7.2270, 7.2270, 7.2270 Å; angles 89.47, 89.47, 89.47 degrees
Fractional coordinates of all 19 atoms:
Zr1 0.0182 0.9327 0.3099
Zr2 0.0673 0.6901 0.9818
Zr3 0.1282 0.4536 0.3601
Zr4 0.3099 0.0182 0.9327
Zr5 0.3601 0.1282 0.4536
Zr6 0.4536 0.3601 0.1282
Zr7 0.5464 0.6399 0.8718
Zr8 0.6399 0.8718 0.5464
Zr9 0.6901 0.9818 0.0673
Zr10 0.8718 0.5464 0.6399
Zr11 0.9327 0.3099 0.0182
Zr12 0.9818 0.0673 0.6901
Ga1 0.2388 0.3834 0.7516
Ga2 0.2484 0.7612 0.6166
Ga3 0.3834 0.7516 0.2388
Ga4 0.6166 0.2484 0.7612
Ga5 0.7516 0.2388 0.3834
Ga6 0.7612 0.6166 0.2484
Fe1 0.5000 0.5000 0.5000

Properties
The space-group type is No. 148. For the formation energy, the calculation gives -0.267 eV per atom. As for the total moment: 1.357 μB per cell.